(1)
DFT (PBE-GGA) results for an optimized crystal structure of DyNi.

Structure (POSCAR):
```
DyNi
1.0
-3.613 1.491 0.138
-3.089 -2.382 0.283
-2.053 -0.153 3.325
Ni Dy
1 1
Direct
0.000 0.000 0.000 Ni
0.500 0.500 0.500 Dy
```

Computed properties:
Energy relative to the elements in eV per atom: -0.226
Space-group type: Fm-3m


(2)
DFT (PBE-GGA) results for an optimized crystal structure of DyNpNi.

Structure (POSCAR):
```
DyNpNi
1.0
-2.400 -2.207 -1.123
3.152 1.291 -3.981
4.322 -6.069 2.694
Np Ni Dy
2 2 2
Direct
0.833 0.665 0.042 Np
0.167 0.335 0.958 Np
0.335 0.670 0.303 Ni
0.665 0.330 0.697 Ni
0.619 0.237 0.343 Dy
0.381 0.763 0.657 Dy
```

Computed properties:
Energy relative to the elements in eV per atom: 0.094
Space-group type: C2/m


(3)
DFT (PBE-GGA) results for an optimized crystal structure of Dy2NpNi9.

Structure (POSCAR):
```
Dy2NpNi9
1.0
4.741 0.000 1.411
2.161 4.220 1.411
0.018 0.011 8.610
Ni Dy Np
9 2 1
Direct
0.667 0.667 0.999 Ni
0.500 0.500 0.500 Ni
0.919 0.418 0.246 Ni
0.081 0.582 0.754 Ni
0.418 0.418 0.246 Ni
0.333 0.333 0.001 Ni
0.418 0.919 0.246 Ni
0.582 0.582 0.754 Ni
0.582 0.081 0.754 Ni
0.861 0.861 0.417 Dy
0.139 0.139 0.583 Dy
0.000 0.000 0.000 Np
```

Computed properties:
Energy relative to the elements in eV per atom: -0.302
Space-group type: R-3m